Below is a geometry-optimized LiAc2TbTe4 structure, with properties calculated at the PBE level.

space group = P2/m (10)
V = 266 Å³/f.u.
N(E_F) = 3.2 states/eV/f.u.
total magnetic moment = 0.000 Bohr magnetons per cell
raw formation energy = -1.3859 eV/atom

Cell: 7.814 4.551 7.930 Å, 90.00 109.53 90.00°
Positions (direct):
Li (0.000, 0.000, 0.000)
Ac (0.500, 0.000, 0.500)
Ac (0.500, 0.500, 0.000)
Tb (0.000, 0.500, 0.500)
Te (0.221, 0.500, 0.237)
Te (0.222, 0.000, 0.746)
Te (0.778, 0.000, 0.254)
Te (0.779, 0.500, 0.763)